Pm2Pr2Nd5 | GGA-PBE | optimized geometry

The structure belongs to space group Ima2 (No. 46); the cell edges are 15.198, 12.153 and 6.934 Å and the angles 90.00°, 90.00° and 90.00°. Symmetry generates all atoms from Pm at (0.126, 0.004, 0.000), Pr at (0.000, 0.000, 0.468), Pr at (0.250, 0.004, 0.533), Nd at (0.053, 0.749, 0.149), Nd at (0.143, 0.233, 0.327) and Nd at (0.250, 0.736, 0.350).

For the density of states at the Fermi level, the calculation gives 57.29 states/eV/cell. The calculation puts the polymorph energy (0 for the lowest one) at 54 meV/atom.



ZrZn2Pt | GGA-PBE | optimized geometry

The structure belongs to space group Pm (No. 6); the cell edges are 2.978, 3.383 and 6.657 Å and the angles 90.00°, 90.14° and 90.00°. Symmetry generates all atoms from Zr at (0.000, 0.000, 0.000), Zn at (0.001, 0.000, 0.489), Zn at (0.499, 0.500, 0.706) and Pt at (0.502, 0.500, 0.263).

For the density of states at the Fermi level, the calculation gives 2.33 states/eV/cell.



no.,total DFT energy (no corrections) (eV/atom),calculated formation energy (eV per atom),magnetization (μB/cell)
1,-4.584,0.182,0.0
2,-4.765,-0.481,0.0